1.
DFT (PBE) results for an optimized crystal structure of HfBiAsBr2.

Geometry as CIF:
```
data_HfBiAsBr2
_cell_length_a 5.5171
_cell_length_b 5.5171
_cell_length_c 5.7314
_cell_angle_alpha 90.00
_cell_angle_beta 90.00
_cell_angle_gamma 90.00
_space_group_name_H-M_alt 'P 4/m m m'
_space_group_IT_number 123
_space_group_name_Hall '-P 4 2'
loop_
_atom_site_label
_atom_site_fract_x
_atom_site_fract_y
_atom_site_fract_z
_atom_site_occupancy
Hf1 0.0000 0.0000 0.0000 1
Bi1 0.5000 0.5000 0.5000 1
As1 0.5000 0.5000 0.0000 1
Br1 0.0000 0.5000 0.5000 1
```

Summary:
Energy relative to the lowest polymorph listed for this composition in eV per atom: 0.985
Raw formation energy in eV per atom: 0.802
Volume in Å³ per atom: 34.9
Fermi-level density of states in states/eV per atom: 1.0318

2.
DFT (PBE) results for an optimized crystal structure of Zr2BeTe.

Geometry as CIF:
```
data_Zr2BeTe
_cell_length_a 3.6012
_cell_length_b 3.6012
_cell_length_c 23.0141
_cell_angle_alpha 90.00
_cell_angle_beta 90.00
_cell_angle_gamma 120.00
_space_group_name_H-M_alt 'R 3 m'
_space_group_IT_number 160
_space_group_name_Hall 'R 3 -2"'
loop_
_atom_site_label
_atom_site_fract_x
_atom_site_fract_y
_atom_site_fract_z
_atom_site_occupancy
Zr1 0.0000 0.0000 0.0000 1
Zr2 0.0000 0.0000 0.2347 1
Be1 0.0000 0.0000 0.4874 1
Te1 0.0000 0.0000 0.7671 1
```

Summary:
Energy relative to the lowest polymorph listed for this composition in eV per atom: 0.517
Raw formation energy in eV per atom: 0.096
Volume in Å³ per atom: 21.5
Fermi-level density of states in states/eV per atom: 0.6676

3.
DFT (PBE) results for an optimized crystal structure of ZnOsNO2.

Geometry as CIF:
```
data_ZnOsNO2
_cell_length_a 3.9129
_cell_length_b 3.9129
_cell_length_c 3.8279
_cell_angle_alpha 90.00
_cell_angle_beta 90.00
_cell_angle_gamma 90.00
_space_group_name_H-M_alt 'P 4/m m m'
_space_group_IT_number 123
_space_group_name_Hall '-P 4 2'
loop_
_atom_site_label
_atom_site_fract_x
_atom_site_fract_y
_atom_site_fract_z
_atom_site_occupancy
Zn1 0.0000 0.0000 0.0000 1
Os1 0.5000 0.5000 0.5000 1
N1 0.5000 0.5000 0.0000 1
O1 0.0000 0.5000 0.5000 1
```

Summary:
Raw formation energy in eV per atom: -0.041
Volume in Å³ per atom: 11.7
Fermi-level density of states in states/eV per atom: 0.8384